1.
Sr2LaW meta-GGA SCAN PBEsol geometry; energy above the lowest structure with this stoichiometry = 0.3290 eV/atom; density of states at the Fermi level = 5.160 states/eV/cell; energy of formation from the pure elements = 1.115 eV/atom; space group = P4/mmm; raw total energy = -152.9 eV/cell
1.0
-4.235 -0.729 1.800
-0.510 -3.749 -2.719
2.169 -3.089 3.853
Sr W La
2 1 1
Direct
0.000 0.500 0.000
0.500 0.000 0.000
0.500 0.500 0.500
0.000 0.000 0.500

2.
Sr2LaW meta-GGA SCAN PBEsol geometry; energy above the lowest structure with this stoichiometry = 0.3982 eV/atom; density of states at the Fermi level = 4.563 states/eV/cell; energy of formation from the pure elements = 1.184 eV/atom; space group = R-3m; raw total energy = -152.6 eV/cell
1.0
-2.115 -2.063 -1.535
1.163 -2.368 -2.030
0.384 -9.189 8.211
La Sr W
1 2 1
Direct
0.000 0.000 0.000
0.763 0.763 0.711
0.237 0.237 0.289
0.500 0.500 0.500